(1)
A relaxed K2CoAg crystal. Source: Alexandria via LeMat-Bulk, functional GGA-PBE. Values from VASP.

- Electronic total energy: -0.1775 Ry/atom

```
&SYSTEM
  ibrav = 0, nat = 4, ntyp = 3
/
ATOMIC_SPECIES
K 39.10 K.upf
Co 58.93 Co.upf
Ag 107.87 Ag.upf
ATOMIC_POSITIONS crystal
K 0.0000 0.0000 0.0000
K 0.6928 0.1928 0.5000
Co 0.2988 0.7988 0.5000
Ag 0.3977 0.3977 0.0000
CELL_PARAMETERS angstrom
-2.3091 2.9109 4.8188
2.3091 -2.9109 4.8188
2.3091 2.9109 -4.8188
```

=====

(2)
A relaxed KCo2Ag crystal. Source: Alexandria via LeMat-Bulk, functional GGA-PBE. Values from VASP.

- Electronic total energy: -0.2665 Ry/atom

```
&SYSTEM
  ibrav = 0, nat = 4, ntyp = 3
/
ATOMIC_SPECIES
K 39.10 K.upf
Co 58.93 Co.upf
Ag 107.87 Ag.upf
ATOMIC_POSITIONS crystal
K 0.0000 0.0000 0.0000
Co 0.5000 0.5000 0.2924
Co 0.5000 0.5000 0.7076
Ag 0.0000 0.0000 0.5000
CELL_PARAMETERS angstrom
2.7605 0.0000 0.0000
0.0000 2.7605 0.0000
0.0000 0.0000 9.3855
```

=====

no.,calculated formation energy (eV/atom)
1,0.624
2,0.915